VASP calculation (PBE-GGA) on a geometry-optimized Ag2AuBr structure.

abc: 3.6166 3.6166 6.5444
angles: 90.00 90.00 90.00
Closest atoms and distances in Å follow each position.
Fractional positions:
Ag 0.0000 0.0000 0.0000  1 Au 2.78, 4 Br 2.96, 4 Ag 3.01
Ag 0.5000 0.5000 0.2426  4 Au 2.82, 4 Ag 3.01, 1 Br 3.07
Au 0.0000 0.0000 0.4252  5 Ag 2.78-2.82
Br 0.5000 0.5000 0.7737  5 Ag 2.96-3.07

Computed properties:
polymorph energy (0 for the lowest one) = 0.081 eV/atom
uncorrected formation energy = 0.16 eV per formula unit
crystal system = tetragonal
space group = P4mm (99)
M_tot = 0.000 μB/atom